1.
Entry from the Alexandria database: a relaxed structure of NdMgSb (GGA-PBE).

Geometry as POSCAR:
```
NdMgSb
1.0
2.259 1.304 10.697
-2.259 1.304 10.697
0.000 -2.609 10.697
Nd Mg Sb
2 2 2
Direct
0.123 0.123 0.123 Nd
0.877 0.877 0.877 Nd
0.303 0.303 0.303 Mg
0.697 0.697 0.697 Mg
0.396 0.396 0.396 Sb
0.604 0.604 0.604 Sb
```

Computed properties:
crystal system = trigonal
total magnetic moment = 1.71 μB/cell
formation energy (no corrections) = -1.2 eV/f.u.



2.
Entry from the Alexandria database: a relaxed structure of TbGdZn (GGA-PBE).

Geometry as POSCAR:
```
TbGdZn
1.0
-1.801 1.801 6.113
1.801 -1.801 6.113
1.801 1.801 -6.113
Tb Gd Zn
1 1 1
Direct
0.000 0.000 0.000 Tb
0.709 0.709 0.000 Gd
0.358 0.358 0.000 Zn
```

Computed properties:
E_form = -0.219 eV per atom
crystal system = tetragonal
total magnetic moment = 7.79 μB/cell



3.
Entry from the Alexandria database: a relaxed structure of YScPa2As4 (GGA-PBE).

Geometry as POSCAR:
```
YScPa2As4
1.0
6.991 0.000 0.000
0.000 4.061 0.000
-2.357 0.000 6.622
Y Sc Pa As
1 1 2 4
Direct
0.000 0.000 0.000 Y
0.000 0.500 0.500 Sc
0.500 0.000 0.500 Pa
0.500 0.500 0.000 Pa
0.242 0.000 0.741 As
0.246 0.500 0.255 As
0.754 0.500 0.745 As
0.758 0.000 0.259 As
```

Computed properties:
E_form = -1.233 eV per atom
crystal system = monoclinic
total magnetic moment = 0.00 μB/cell